--- A ---
Below is crystalline Ac2CeSi at its relaxed geometry, with properties calculated at the PBE-GGA level.

a = 4.1215 Å, b = 4.1215 Å, c = 11.2698 Å
α = 79.46°, β = 79.46°, γ = 60.00°
Site moments in Bohr magnetons follow the coordinates.
Atoms (fractional coordinates):
1 Ac 0.1099 0.1099 0.6702  0.02
2 Ac 0.8901 0.8901 0.3298  0.02
3 Si 0.5000 0.5000 0.5000  0.00
4 Ce 0.0000 0.0000 0.0000  1.30

Crystal system = trigonal
Space-group type = R-3m

--- B ---
Below is crystalline Ac2CeSi at its relaxed geometry, with properties calculated at the PBE-GGA level.

a = 4.7803 Å, b = 5.0868 Å, c = 5.0868 Å
α = 90.00°, β = 90.00°, γ = 90.00°
Site moments in Bohr magnetons follow the coordinates.
Atoms (fractional coordinates):
1 Ac 0.0000 0.0000 0.5000  0.03
2 Ac 0.0000 0.5000 0.0000  0.03
3 Si 0.5000 0.0000 0.0000  -0.01
4 Ce 0.5000 0.5000 0.5000  0.69

Crystal system = tetragonal
Space-group type = P4/mmm

If we sort the structures by their calculated energies, the order from most to least stable is B, A.

--- A ---
Below is crystalline AcCe2Sm at its relaxed geometry, with properties calculated at the PBE-GGA level.

a = 3.6326 Å, b = 3.6326 Å, c = 10.3290 Å
α = 90.00°, β = 90.00°, γ = 90.00°
Site moments in Bohr magnetons follow the coordinates.
Atoms (fractional coordinates):
1 Ac 0.5000 0.5000 0.5000  0.05
2 Ce 0.0000 0.0000 0.7592  0.76
3 Ce 0.0000 0.0000 0.2408  0.76
4 Sm 0.5000 0.5000 0.0000  0.04

Crystal system = tetragonal
Space-group type = P4/mmm

--- B ---
Below is crystalline AcCe2Sm at its relaxed geometry, with properties calculated at the PBE-GGA level.

a = 3.5409 Å, b = 3.5409 Å, c = 12.8988 Å
α = 82.11°, β = 82.11°, γ = 60.00°
Site moments in Bohr magnetons follow the coordinates.
Atoms (fractional coordinates):
1 Ac 0.0000 0.0000 0.0000  0.00
2 Ce 0.0902 0.0902 0.7295  0.75
3 Ce 0.9098 0.9098 0.2705  0.75
4 Sm 0.5000 0.5000 0.5000  -0.02

Crystal system = trigonal
Space-group type = R-3m

If we sort the structures by their calculated energies, the order from most to least stable is A, B.

--- A ---
Below is crystalline AcCe2Sm at its relaxed geometry, with properties calculated at the PBE-GGA level.

a = 5.2238 Å, b = 5.0825 Å, c = 5.0825 Å
α = 90.00°, β = 90.00°, γ = 90.00°
Site moments in Bohr magnetons follow the coordinates.
Atoms (fractional coordinates):
1 Ac 0.5000 0.5000 0.5000  0.03
2 Ce 0.0000 0.0000 0.5000  0.75
3 Ce 0.0000 0.5000 0.0000  0.75
4 Sm 0.5000 0.0000 0.0000  0.01

Crystal system = tetragonal
Space-group type = P4/mmm

--- B ---
Below is crystalline AcCe2Sm at its relaxed geometry, with properties calculated at the PBE-GGA level.

a = 5.8608 Å, b = 5.8608 Å, c = 5.8608 Å
α = 60.00°, β = 60.00°, γ = 60.00°
Site moments in Bohr magnetons follow the coordinates.
Atoms (fractional coordinates):
1 Ac 0.5000 0.5000 0.5000  0.19
2 Ce 0.2500 0.2500 0.2500  1.14
3 Ce 0.7500 0.7500 0.7500  1.14
4 Sm 0.0000 0.0000 0.0000  0.34

Crystal system = cubic
Space-group type = Fm-3m

If we sort the structures by their calculated energies, the order from most to least stable is A, B.

--- A ---
Below is crystalline Ac2CeSm at its relaxed geometry, with properties calculated at the PBE-GGA level.

a = 6.0345 Å, b = 6.0345 Å, c = 6.0345 Å
α = 60.00°, β = 60.00°, γ = 60.00°
Site moments in Bohr magnetons follow the coordinates.
Atoms (fractional coordinates):
1 Ac 0.2500 0.2500 0.2500  0.18
2 Ac 0.7500 0.7500 0.7500  0.18
3 Ce 0.5000 0.5000 0.5000  1.14
4 Sm 0.0000 0.0000 0.0000  0.23

Crystal system = cubic
Space-group type = Fm-3m

--- B ---
Below is crystalline Ac2CeSm at its relaxed geometry, with properties calculated at the PBE-GGA level.

a = 5.2380 Å, b = 5.3945 Å, c = 5.3945 Å
α = 90.00°, β = 90.00°, γ = 90.00°
Site moments in Bohr magnetons follow the coordinates.
Atoms (fractional coordinates):
1 Ac 0.0000 0.0000 0.5000  0.02
2 Ac 0.0000 0.5000 0.0000  0.02
3 Ce 0.5000 0.0000 0.0000  0.86
4 Sm 0.5000 0.5000 0.5000  0.01

Crystal system = tetragonal
Space-group type = P4/mmm

--- C ---
Below is crystalline Ac2CeSm at its relaxed geometry, with properties calculated at the PBE-GGA level.

a = 3.7912 Å, b = 3.7912 Å, c = 10.5353 Å
α = 90.00°, β = 90.00°, γ = 90.00°
Site moments in Bohr magnetons follow the coordinates.
Atoms (fractional coordinates):
1 Ac 0.0000 0.0000 0.7541  0.02
2 Ac 0.0000 0.0000 0.2459  0.02
3 Ce 0.5000 0.5000 0.0000  0.87
4 Sm 0.5000 0.5000 0.5000  0.00

Crystal system = tetragonal
Space-group type = P4/mmm

--- D ---
Below is crystalline Ac2CeSm at its relaxed geometry, with properties calculated at the PBE-GGA level.

a = 3.7163 Å, b = 3.7163 Å, c = 13.3124 Å
α = 81.98°, β = 81.98°, γ = 60.00°
Site moments in Bohr magnetons follow the coordinates.
Atoms (fractional coordinates):
1 Ac 0.0883 0.0883 0.7352  0.02
2 Ac 0.9117 0.9117 0.2648  0.02
3 Ce 0.0000 0.0000 0.0000  1.11
4 Sm 0.5000 0.5000 0.5000  0.01

Crystal system = trigonal
Space-group type = R-3m

If we sort the structures by their calculated energies, the order from most to least stable is C, B, A, D.

--- A ---
Below is crystalline Ac2CeSn at its relaxed geometry, with properties calculated at the PBE-GGA level.

a = 3.6824 Å, b = 3.6824 Å, c = 12.7929 Å
α = 81.72°, β = 81.72°, γ = 60.00°
Site moments in Bohr magnetons follow the coordinates.
Atoms (fractional coordinates):
1 Ac 0.0930 0.0930 0.7209  0.00
2 Ac 0.9070 0.9070 0.2791  0.00
3 Sn 0.5000 0.5000 0.5000  0.00
4 Ce 0.0000 0.0000 0.0000  1.11

Crystal system = trigonal
Space-group type = R-3m

--- B ---
Below is crystalline Ac2CeSn at its relaxed geometry, with properties calculated at the PBE-GGA level.

a = 4.3825 Å, b = 4.3825 Å, c = 7.4513 Å
α = 90.00°, β = 90.00°, γ = 90.00°
Site moments in Bohr magnetons follow the coordinates.
Atoms (fractional coordinates):
1 Ac 0.0000 0.0000 0.7700  0.06
2 Ac 0.0000 0.0000 0.2300  0.06
3 Sn 0.5000 0.5000 0.0000  -0.02
4 Ce 0.5000 0.5000 0.5000  0.96

Crystal system = tetragonal
Space-group type = P4/mmm

If we sort the structures by their calculated energies, the order from most to least stable is B, A.

--- A ---
Below is crystalline AcCe2Sn at its relaxed geometry, with properties calculated at the PBE-GGA level.

a = 5.0236 Å, b = 4.9530 Å, c = 4.9530 Å
α = 90.00°, β = 90.00°, γ = 90.00°
Site moments in Bohr magnetons follow the coordinates.
Atoms (fractional coordinates):
1 Ac 0.5000 0.0000 0.0000  0.05
2 Sn 0.5000 0.5000 0.5000  -0.02
3 Ce 0.0000 0.0000 0.5000  0.79
4 Ce 0.0000 0.5000 0.0000  0.79

Crystal system = tetragonal
Space-group type = P4/mmm

--- B ---
Below is crystalline AcCe2Sn at its relaxed geometry, with properties calculated at the PBE-GGA level.

a = 5.5980 Å, b = 5.5980 Å, c = 5.5980 Å
α = 60.00°, β = 60.00°, γ = 60.00°
Site moments in Bohr magnetons follow the coordinates.
Atoms (fractional coordinates):
1 Ac 0.0000 0.0000 0.0000  0.20
2 Sn 0.5000 0.5000 0.5000  -0.02
3 Ce 0.2500 0.2500 0.2500  0.85
4 Ce 0.7500 0.7500 0.7500  0.85

Crystal system = cubic
Space-group type = Fm-3m

If we sort the structures by their calculated energies, the order from most to least stable is A, B.

--- A ---
Below is crystalline AcTbCe2 at its relaxed geometry, with properties calculated at the PBE-GGA level.

a = 3.6272 Å, b = 3.6272 Å, c = 10.2522 Å
α = 90.00°, β = 90.00°, γ = 90.00°
Site moments in Bohr magnetons follow the coordinates.
Atoms (fractional coordinates):
1 Ac 0.5000 0.5000 0.5000  0.05
2 Tb 0.5000 0.5000 0.0000  0.08
3 Ce 0.0000 0.0000 0.7613  0.75
4 Ce 0.0000 0.0000 0.2387  0.75

Crystal system = tetragonal
Space-group type = P4/mmm

--- B ---
Below is crystalline AcTbCe2 at its relaxed geometry, with properties calculated at the PBE-GGA level.

a = 5.2178 Å, b = 5.0563 Å, c = 5.0563 Å
α = 90.00°, β = 90.00°, γ = 90.00°
Site moments in Bohr magnetons follow the coordinates.
Atoms (fractional coordinates):
1 Ac 0.5000 0.5000 0.5000  0.03
2 Tb 0.5000 0.0000 0.0000  0.03
3 Ce 0.0000 0.0000 0.5000  0.75
4 Ce 0.0000 0.5000 0.0000  0.75

Crystal system = tetragonal
Space-group type = P4/mmm

--- C ---
Below is crystalline AcTbCe2 at its relaxed geometry, with properties calculated at the PBE-GGA level.

a = 5.8369 Å, b = 5.8369 Å, c = 5.8369 Å
α = 60.00°, β = 60.00°, γ = 60.00°
Site moments in Bohr magnetons follow the coordinates.
Atoms (fractional coordinates):
1 Ac 0.5000 0.5000 0.5000  0.19
2 Tb 0.0000 0.0000 0.0000  0.42
3 Ce 0.2500 0.2500 0.2500  1.14
4 Ce 0.7500 0.7500 0.7500  1.14

Crystal system = cubic
Space-group type = Fm-3m

If we sort the structures by their calculated energies, the order from most to least stable is B, A, C.

--- A ---
Below is crystalline AcTbCe at its relaxed geometry, with properties calculated at the PBE-GGA level.

a = 3.6944 Å, b = 3.6944 Å, c = 8.9481 Å
α = 90.00°, β = 90.00°, γ = 120.00°
Site moments in Bohr magnetons follow the coordinates.
Atoms (fractional coordinates):
1 Ac 0.0000 0.0000 0.9960  0.00
2 Tb 0.6667 0.3333 0.3448  0.03
3 Ce 0.3333 0.6667 0.6592  0.73

Crystal system = trigonal
Space-group type = P3m1

--- B ---
Below is crystalline AcTbCe at its relaxed geometry, with properties calculated at the PBE-GGA level.

a = 3.7007 Å, b = 3.7007 Å, c = 8.1184 Å
α = 103.17°, β = 103.17°, γ = 90.00°
Site moments in Bohr magnetons follow the coordinates.
Atoms (fractional coordinates):
1 Ac 0.9958 0.9958 0.9915  0.00
2 Tb 0.6763 0.6763 0.3527  0.01
3 Ce 0.3279 0.3279 0.6558  0.55

Crystal system = tetragonal
Space-group type = I4mm

If we sort the structures by their calculated energies, the order from most to least stable is B, A.

--- A ---
Below is crystalline AcCe2Tc at its relaxed geometry, with properties calculated at the PBE-GGA level.

a = 3.5364 Å, b = 3.5364 Å, c = 8.8547 Å
α = 90.00°, β = 90.00°, γ = 90.00°
Atoms (fractional coordinates):
1 Ac 0.5000 0.5000 0.5000
2 Tc 0.5000 0.5000 0.0000
3 Ce 0.0000 0.0000 0.8131
4 Ce 0.0000 0.0000 0.1869

Crystal system = tetragonal
Space-group type = P4/mmm

--- B ---
Below is crystalline AcCe2Tc at its relaxed geometry, with properties calculated at the PBE-GGA level.

a = 4.0244 Å, b = 4.0244 Å, c = 9.2561 Å
α = 77.44°, β = 77.44°, γ = 60.00°
Site moments in Bohr magnetons follow the coordinates.
Atoms (fractional coordinates):
1 Ac 0.5028 0.5028 0.4917  0.03
2 Ce 0.0555 0.0555 0.8334  0.39
3 Ce 0.2792 0.2792 0.1625  0.01
4 Tc 0.6625 0.6625 0.0125  -0.04

Crystal system = trigonal
Space-group type = R3m

If we sort the structures by their calculated energies, the order from most to least stable is A, B.

--- A ---
Below is crystalline AcCeTe3 at its relaxed geometry, with properties calculated at the PBE-GGA level.

a = 4.6531 Å, b = 8.5645 Å, c = 17.8161 Å
α = 90.00°, β = 90.00°, γ = 90.00°
Site moments in Bohr magnetons follow the coordinates.
Atoms (fractional coordinates):
1 Ac 0.7500 0.8665 0.7990  0.00
2 Ac 0.2500 0.1335 0.2010  0.00
3 Ac 0.7500 0.3665 0.7010  0.00
4 Ac 0.2500 0.6335 0.2990  0.00
5 Ce 0.2500 0.2701 0.9587  0.93
6 Ce 0.2500 0.7701 0.5413  0.93
7 Ce 0.7500 0.2299 0.4587  0.93
8 Ce 0.7500 0.7299 0.0413  0.93
9 Te 0.2500 0.3767 0.5613  -0.02
10 Te 0.7500 0.8445 0.2153  -0.01
11 Te 0.7500 0.4935 0.8940  -0.02
12 Te 0.7500 0.9935 0.6060  -0.02
13 Te 0.7500 0.6233 0.4387  -0.02
14 Te 0.2500 0.0065 0.3940  -0.02
15 Te 0.2500 0.8767 0.9387  -0.02
16 Te 0.7500 0.3445 0.2847  -0.01
17 Te 0.2500 0.6555 0.7153  -0.01
18 Te 0.2500 0.1555 0.7847  -0.01
19 Te 0.7500 0.1233 0.0613  -0.02
20 Te 0.2500 0.5065 0.1060  -0.02

Crystal system = orthorhombic
Space-group type = Pnma

--- B ---
Below is crystalline AcCeTe3 at its relaxed geometry, with properties calculated at the PBE-GGA level.

a = 4.6391 Å, b = 7.6839 Å, c = 10.1353 Å
α = 90.00°, β = 90.00°, γ = 90.00°
Site moments in Bohr magnetons follow the coordinates.
Atoms (fractional coordinates):
1 Ac 0.5000 0.0000 0.1527  0.01
2 Ac 0.0000 0.5000 0.8473  0.01
3 Ce 0.0000 0.0000 0.5998  0.90
4 Ce 0.5000 0.5000 0.4002  0.90
5 Te 0.0000 0.7682 0.3331  -0.02
6 Te 0.5000 0.7318 0.6669  -0.02
7 Te 0.5000 0.2682 0.6669  -0.02
8 Te 0.0000 0.2318 0.3331  -0.02
9 Te 0.0000 0.0000 0.9236  -0.01
10 Te 0.5000 0.5000 0.0764  -0.01

Crystal system = orthorhombic
Space-group type = Pmmn

If we sort the structures by their calculated energies, the order from most to least stable is A, B.

--- A ---
Below is crystalline AcCeTe at its relaxed geometry, with properties calculated at the PBE-GGA level.

a = 4.0523 Å, b = 4.0523 Å, c = 7.0853 Å
α = 106.62°, β = 106.62°, γ = 90.00°
Site moments in Bohr magnetons follow the coordinates.
Atoms (fractional coordinates):
1 Ac 0.2691 0.2691 0.5383  0.10
2 Te 0.6012 0.6012 0.2024  -0.01
3 Ce 0.9796 0.9796 0.9593  1.05

Crystal system = tetragonal
Space-group type = I4mm

--- B ---
Below is crystalline AcCeTe at its relaxed geometry, with properties calculated at the PBE-GGA level.

a = 4.1952 Å, b = 5.4113 Å, c = 5.4113 Å
α = 120.00°, β = 90.00°, γ = 90.00°
Site moments in Bohr magnetons follow the coordinates.
Atoms (fractional coordinates):
1 Ac 0.6666 0.6667 0.3333  0.09
2 Te 0.1666 0.3333 0.6667  -0.01
3 Ce 0.1668 0.0000 0.0000  0.96

Crystal system = hexagonal
Space-group type = P-6m2

If we sort the structures by their calculated energies, the order from most to least stable is A, B.

--- A ---
Below is crystalline AcCe2Te at its relaxed geometry, with properties calculated at the PBE-GGA level.

a = 3.9858 Å, b = 3.9858 Å, c = 10.5353 Å
α = 79.10°, β = 79.10°, γ = 60.00°
Site moments in Bohr magnetons follow the coordinates.
Atoms (fractional coordinates):
1 Ac 0.0000 0.0000 0.0000  -0.01
2 Te 0.5000 0.5000 0.5000  -0.02
3 Ce 0.2360 0.2360 0.2920  0.81
4 Ce 0.7640 0.7640 0.7080  0.81

Crystal system = trigonal
Space-group type = R-3m

--- B ---
Below is crystalline AcCe2Te at its relaxed geometry, with properties calculated at the PBE-GGA level.

a = 4.2139 Å, b = 4.2139 Å, c = 7.3036 Å
α = 90.00°, β = 90.00°, γ = 90.00°
Site moments in Bohr magnetons follow the coordinates.
Atoms (fractional coordinates):
1 Ac 0.5000 0.5000 0.0000  0.00
2 Te 0.5000 0.5000 0.5000  0.00
3 Ce 0.0000 0.0000 0.6801  0.23
4 Ce 0.0000 0.0000 0.3199  0.23

Crystal system = tetragonal
Space-group type = P4/mmm

If we sort the structures by their calculated energies, the order from most to least stable is B, A.